A plane-wave DFT calculation with PBE was carried out for an optimized crystal structure of Pm2Hf. Values from VASP.

Cell and atoms, written as Quantum ESPRESSO input:
```
&SYSTEM
  ibrav = 0, nat = 6, ntyp = 2
/
ATOMIC_SPECIES
Pm 145.00 Pm.upf
Hf 178.49 Hf.upf
CELL_PARAMETERS angstrom
0.000 4.453 4.453
4.453 0.000 4.453
4.453 4.453 0.000
ATOMIC_POSITIONS crystal
Pm 0.625 0.625 0.125
Pm 0.625 0.625 0.625
Pm 0.125 0.625 0.625
Hf 0.250 0.250 0.250
Hf 0.000 0.000 0.000
Pm 0.625 0.125 0.625
```

Properties
space-group type: No. 227

***

A plane-wave DFT calculation with PBE was carried out for an optimized crystal structure of Pm2Hf. Values from VASP.

Cell and atoms, written as Quantum ESPRESSO input:
```
&SYSTEM
  ibrav = 0, nat = 6, ntyp = 2
/
ATOMIC_SPECIES
Pm 145.00 Pm.upf
Hf 178.49 Hf.upf
CELL_PARAMETERS angstrom
-8.108 3.259 0.169
-2.389 5.445 6.407
-1.346 8.461 -1.730
ATOMIC_POSITIONS crystal
Pm 0.375 0.875 0.375
Hf 0.500 0.500 0.500
Pm 0.875 0.375 0.375
Pm 0.375 0.375 0.375
Hf 0.250 0.250 0.250
Pm 0.375 0.375 0.875
```

Properties
space-group type: No. 227

***

A plane-wave DFT calculation with PBE was carried out for an optimized crystal structure of PmHfPt. Values from VASP.

Cell and atoms, written as Quantum ESPRESSO input:
```
&SYSTEM
  ibrav = 0, nat = 3, ntyp = 3
/
ATOMIC_SPECIES
Pt 195.08 Pt.upf
Hf 178.49 Hf.upf
Pm 145.00 Pm.upf
CELL_PARAMETERS angstrom
0.000 3.370 3.370
3.370 0.000 3.370
3.370 3.370 0.000
ATOMIC_POSITIONS crystal
Pt 0.000 0.000 0.000
Hf 0.250 0.250 0.250
Pm 0.750 0.750 0.750
```

Properties
space-group type: No. 216

***

no.,theoretical density (g/cm³),final energy (eV per atom),size of the total moment (μB per formula unit)
1,8.81,-5.815,0.08
2,3.30,-4.211,0.01
3,11.25,-7.390,0.01